*A*
The following is a PBE-GGA calculation of a geometry-optimized ZnAg2Se structure, from Alexandria.

Its density of states at the Fermi level is 5.84 states/eV per cell. As for the mass density: 7.7 Mg/m³.

a b c (Å): 4.0325 4.0325 19.1969
angles (deg): 90.00 90.00 90.00
With the nearest neighbours (Å) after each atom.
Space group I-42d (No. 122)
One atom of each set of equivalent atoms:
Zn (0.0000, 0.0000, 0.0000)  4 Ag 2.78, 4 Se 2.85
Ag (0.2418, 0.2500, 0.1250)  2 Zn 2.78, 2 Se 2.80, 4 Ag 2.81-2.90
Se (0.0000, 0.0000, 0.5000)  4 Ag 2.80, 4 Zn 2.85

*B*
The following is a PBE-GGA calculation of a geometry-optimized ZnAg2Se structure, from Alexandria.

Its density of states at the Fermi level is 2.53 states/eV per cell. As for the mass density: 8.1 Mg/m³.

a b c (Å): 3.5830 4.7950 8.5873
angles (deg): 90.00 90.00 90.00
With the nearest neighbours (Å) after each atom.
Space group Cmm2 (No. 35)
One atom of each set of equivalent atoms:
Zn (0.0000, 0.0000, 0.0000)  2 Ag 2.66, 2 Se 2.69
Ag (0.0000, 0.0000, 0.5141)  6 Ag 2.84-2.99, 2 Se 3.00
Ag (0.0000, 0.5000, 0.7704)  2 Zn 2.66, 2 Ag 2.84
Se (0.0000, 0.5000, 0.2342)  2 Zn 2.69, 4 Se 2.99, 2 Ag 3.00

*C*
The following is a PBE-GGA calculation of a geometry-optimized ZnAg2Se structure, from Alexandria.

Its density of states at the Fermi level is 1.41 states/eV per cell. As for the mass density: 8.2 Mg/m³.

a b c (Å): 4.1025 4.1197 4.3367
angles (deg): 90.00 90.00 90.00
With the nearest neighbours (Å) after each atom.
Space group Pmmm (No. 47)
One atom of each set of equivalent atoms:
Zn (0.0000, 0.0000, 0.0000)  4 Se 2.91, 8 Ag 2.98-2.99
Ag (0.0000, 0.5000, 0.5000)  4 Ag 2.91, 4 Se 2.98, 4 Zn 2.99
Ag (0.5000, 0.0000, 0.5000)  4 Ag 2.91, 4 Zn 2.98, 4 Se 2.99
Se (0.5000, 0.5000, 0.0000)  4 Zn 2.91, 8 Ag 2.98-2.99

*D*
The following is a PBE-GGA calculation of a geometry-optimized ZnAg2Se structure, from Alexandria.

Its density of states at the Fermi level is 0.78 states/eV per cell. As for the mass density: 7.8 Mg/m³.

a b c (Å): 2.9182 4.6014 5.8895
angles (deg): 90.00 102.78 90.00
With the nearest neighbours (Å) after each atom.
Space group Pm (No. 6)
One atom of each set of equivalent atoms:
Zn (0.0000, 0.0000, 0.0000)  4 Ag 2.71-2.82, 2 Se 2.75, 2 Zn 2.92
Ag (0.2983, 0.0000, 0.5844)  2 Zn 2.77-2.82, 6 Ag 2.89-2.92, 2 Se 2.96
Ag (0.8715, 0.5000, 0.7504)  2 Zn 2.71, 6 Ag 2.89-2.92, 1 Se 2.94
Se (0.1298, 0.5000, 0.2614)  2 Zn 2.75, 2 Se 2.92, 3 Ag 2.94-2.96

We find *C* to be the most stable, with the next structure 12 meV/atom higher.